Here is a geometry-optimized Li2ZnF structure from Alexandria. Energies are from PBE.

The structure belongs to space group I-42d (No. 122); the cell edges are 5.8406, 5.8406 and 7.4900 Å and the angles 90.00°, 90.00° and 90.00°. Symmetry generates all atoms from Li at (0.1135, 0.2500, 0.1250), Zn at (0.0000, 0.0000, 0.5000) and F at (0.0000, 0.0000, 0.0000).

For the energy above the most stable polymorph in this dataset, the calculation gives 175 meV per atom. Its total magnetic moment is 1.3 μB/cell.

=====

Here is a geometry-optimized Li2ZnF4 structure from Alexandria. Energies are from PBE.

The structure belongs to space group I4/mmm (No. 139); the cell edges are 4.0563, 4.0563 and 10.6255 Å and the angles 90.00°, 90.00° and 90.00°. Symmetry generates all atoms from Li at (0.0000, 0.0000, 0.1449), Zn at (0.0000, 0.0000, 0.5000), F at (0.0000, 0.0000, 0.3129) and F at (0.0000, 0.5000, 0.0000).

For the energy above the most stable polymorph in this dataset, the calculation gives 193 meV per atom. Its total magnetic moment is 0.0 μB/cell.

=====

Here is a geometry-optimized Li4ZnF6 structure from Alexandria. Energies are from PBE.

The structure belongs to space group R-3c (No. 167, hexagonal axes); the cell edges are 9.1389, 9.1389 and 10.5006 Å and the angles 90.00°, 90.00° and 120.00°. Symmetry generates all atoms from Li at (0.0000, 0.0000, 0.2500), Li at (0.0000, 0.3023, 0.2500), Zn at (0.0000, 0.0000, 0.0000) and F at (0.0588, 0.1964, 0.3819).

Its total magnetic moment is 0.0 μB/cell.

=====

Record order is preserved below.
Formation energy from raw total energies: -1.29; -2.48; -2.64 eV per atom
Record order is preserved below.
Ρ: 2.56; 2.95; 2.72 g/cm3